No. 1
# RbAcSi PBE-GGA relaxed
# density: 4.3 Mg/m³
# N(E_F): 1.0 states/eV/f.u.
# formation energy without anion corrections: -74 meV per atom
data_RbAcSi
_space_group_name_H-M_alt 'P 1 21/m 1'
_space_group_IT_number 11
_cell_length_a 5.630
_cell_length_b 5.648
_cell_length_c 8.231
_cell_angle_alpha 90.00
_cell_angle_beta 92.58
_cell_angle_gamma 90.00
loop_
_space_group_symop_operation_xyz
'x,y,z'
'-x,-y,-z'
'-x,y+1/2,-z'
'x,-y+1/2,z'
loop_
_atom_site_label
_atom_site_fract_x
_atom_site_fract_y
_atom_site_fract_z
Rb1 0.245 0.250 0.004
Ac1 0.260 0.250 0.504
Si1 0.242 0.750 0.685


No. 2
# RbAc2Si PBE-GGA relaxed
# density: 5.3 Mg/m³
# N(E_F): 4.5 states/eV/f.u.
# formation energy without anion corrections: -47 meV per atom
data_RbAc2Si
_space_group_name_H-M_alt 'P 4/m m m'
_space_group_IT_number 123
_space_group_name_Hall '-P 4 2'
_cell_length_a 4.006
_cell_length_b 4.006
_cell_length_c 11.142
_cell_angle_alpha 90.00
_cell_angle_beta 90.00
_cell_angle_gamma 90.00
loop_
_atom_site_label
_atom_site_fract_x
_atom_site_fract_y
_atom_site_fract_z
Rb1 0.000 0.000 0.000
Ac1 0.500 0.500 0.352
Si1 0.000 0.000 0.500


No. 3
# RbAcSm2 PBE-GGA relaxed
# density: 5.9 Mg/m³
# energy relative to the elements: 0.292 eV/atom
# N(E_F): 6.4 states/eV/f.u.
data_RbAcSm2
_space_group_name_H-M_alt 'R -3 m'
_space_group_IT_number 166
_space_group_name_Hall '-R 3 2"'
_cell_length_a 3.7893
_cell_length_b 3.7893
_cell_length_c 41.5414
_cell_angle_alpha 90.00
_cell_angle_beta 90.00
_cell_angle_gamma 120.00
loop_
_atom_site_label
_atom_site_fract_x
_atom_site_fract_y
_atom_site_fract_z
Rb1 0.0000 0.0000 0.0000
Ac1 0.0000 0.0000 0.5000
Sm1 0.0000 0.0000 0.0942


No. 4
# RbAc2Sm PBE-GGA relaxed
# density: 6.0 Mg/m³
# energy relative to the elements: 0.188 eV/atom
# N(E_F): 3.9 states/eV/f.u.
data_RbAc2Sm
_space_group_name_H-M_alt 'R -3 m'
_space_group_IT_number 166
_space_group_name_Hall '-R 3 2"'
_cell_length_a 3.9341
_cell_length_b 3.9341
_cell_length_c 42.4521
_cell_angle_alpha 90.00
_cell_angle_beta 90.00
_cell_angle_gamma 120.00
loop_
_atom_site_label
_atom_site_fract_x
_atom_site_fract_y
_atom_site_fract_z
Rb1 0.0000 0.0000 0.0000
Ac1 0.0000 0.0000 0.0962
Sm1 0.0000 0.0000 0.5000


No. 5
# Rb3AcSm2Te6 PBE-GGA relaxed
# density: 5.2 Mg/m³
# N(E_F): 0.0 states/eV/f.u.
# formation energy without anion corrections: -1428 meV per atom
data_Rb3AcSm2Te6
_space_group_name_H-M_alt 'C 1 2/m 1'
_space_group_IT_number 12
_cell_length_a 8.136
_cell_length_b 14.093
_cell_length_c 8.999
_cell_angle_alpha 90.00
_cell_angle_beta 107.58
_cell_angle_gamma 90.00
loop_
_space_group_symop_operation_xyz
'x,y,z'
'-x,-y,-z'
'-x,y,-z'
'x,-y,z'
'x+1/2,y+1/2,z'
'-x+1/2,-y+1/2,-z'
'-x+1/2,y+1/2,-z'
'x+1/2,-y+1/2,z'
loop_
_atom_site_label
_atom_site_fract_x
_atom_site_fract_y
_atom_site_fract_z
Rb1 0.000 0.000 0.000
Rb2 0.000 0.336 0.000
Ac1 0.000 0.500 0.500
Sm1 0.000 0.167 0.500
Te1 0.222 0.000 0.705
Te2 0.242 0.327 0.706


No. 6
# Rb3Ac2SmTe6 PBE-GGA relaxed
# density: 5.3 Mg/m³
# N(E_F): 0.0 states/eV/f.u.
# formation energy without anion corrections: -1459 meV per atom
data_Rb3Ac2SmTe6
_space_group_name_H-M_alt 'C 1 2/m 1'
_space_group_IT_number 12
_cell_length_a 8.294
_cell_length_b 14.370
_cell_length_c 9.029
_cell_angle_alpha 90.00
_cell_angle_beta 107.87
_cell_angle_gamma 90.00
loop_
_space_group_symop_operation_xyz
'x,y,z'
'-x,-y,-z'
'-x,y,-z'
'x,-y,z'
'x+1/2,y+1/2,z'
'-x+1/2,-y+1/2,-z'
'-x+1/2,y+1/2,-z'
'x+1/2,-y+1/2,z'
loop_
_atom_site_label
_atom_site_fract_x
_atom_site_fract_y
_atom_site_fract_z
Rb1 0.000 0.000 0.000
Rb2 0.000 0.331 0.000
Ac1 0.000 0.166 0.500
Sm1 0.000 0.500 0.500
Te1 0.230 0.340 0.709
Te2 0.250 0.000 0.709


No. 7
# RbAc2Sm3Te6 PBE-GGA relaxed
# density: 6.9 Mg/m³
# N(E_F): 4.9 states/eV/f.u.
# formation energy without anion corrections: -1404 meV per atom
data_RbAc2Sm3Te6
_space_group_name_H-M_alt 'C 1 2/m 1'
_space_group_IT_number 12
_cell_length_a 20.368
_cell_length_b 4.539
_cell_length_c 9.472
_cell_angle_alpha 90.00
_cell_angle_beta 105.23
_cell_angle_gamma 90.00
loop_
_space_group_symop_operation_xyz
'x,y,z'
'-x,-y,-z'
'-x,y,-z'
'x,-y,z'
'x+1/2,y+1/2,z'
'-x+1/2,-y+1/2,-z'
'-x+1/2,y+1/2,-z'
'x+1/2,-y+1/2,z'
loop_
_atom_site_label
_atom_site_fract_x
_atom_site_fract_y
_atom_site_fract_z
Rb1 0.000 0.000 0.000
Ac1 0.169 0.500 0.340
Sm1 0.000 0.000 0.500
Sm2 0.163 0.500 0.822
Te1 0.002 0.500 0.730
Te2 0.161 0.000 0.592
Te3 0.175 0.000 0.073


No. 8
# RbAc2SmTe4 PBE-GGA relaxed
# density: 6.6 Mg/m³
# N(E_F): 3.1 states/eV/f.u.
# formation energy without anion corrections: -1387 meV per atom
data_RbAc2SmTe4
_space_group_name_H-M_alt 'P 1 2/m 1'
_space_group_IT_number 10
_cell_length_a 8.140
_cell_length_b 4.681
_cell_length_c 8.332
_cell_angle_alpha 90.00
_cell_angle_beta 108.75
_cell_angle_gamma 90.00
loop_
_space_group_symop_operation_xyz
'x,y,z'
'-x,-y,-z'
'-x,y,-z'
'x,-y,z'
loop_
_atom_site_label
_atom_site_fract_x
_atom_site_fract_y
_atom_site_fract_z
Rb1 0.000 0.000 0.000
Ac1 0.500 0.000 0.500
Ac2 0.500 0.500 0.000
Sm1 0.000 0.500 0.500
Te1 0.241 0.000 0.735
Te2 0.253 0.500 0.266